w:
This record from the Alexandria database describes Sc2Pd2Se after structural relaxation. The functional is GGA-PBE.

a = 7.364 Å, b = 7.364 Å, c = 3.606 Å
α = 90.00°, β = 90.00°, γ = 90.00°
Element x y z (fractional)
1 Sc 0.169 0.331 0.000
2 Sc 0.331 0.831 0.000
3 Sc 0.669 0.169 0.000
4 Sc 0.831 0.669 0.000
5 Pd 0.129 0.629 0.500
6 Pd 0.371 0.129 0.500
7 Pd 0.629 0.871 0.500
8 Pd 0.871 0.371 0.500
9 Se 0.000 0.000 0.000
10 Se 0.500 0.500 0.000

Results
- Fermi-level density of states (states/eV per atom) = 0.02
- SG = P4/mbm, No. 127

x:
This record from the Alexandria database describes Sc2Pd2Se after structural relaxation. The functional is GGA-PBE.

a = 7.337 Å, b = 7.337 Å, c = 3.500 Å
α = 90.00°, β = 90.00°, γ = 90.00°
Element x y z (fractional)
1 Sc 0.170 0.330 0.000
2 Sc 0.330 0.830 0.000
3 Sc 0.670 0.170 0.000
4 Sc 0.830 0.670 0.000
5 Pd 0.130 0.630 0.500
6 Pd 0.370 0.130 0.500
7 Pd 0.630 0.870 0.500
8 Pd 0.870 0.370 0.500
9 Se 0.000 0.000 0.500
10 Se 0.500 0.500 0.500

Results
- Fermi-level density of states (states/eV per atom) = 0.38
- SG = P4/mbm, No. 127

Q: Which of them is the least stable? A: w.

w:
This record from the Alexandria database describes ScSiPd5 after structural relaxation. The functional is GGA-PBE.

a = 3.983 Å, b = 3.983 Å, c = 7.003 Å
α = 90.00°, β = 90.00°, γ = 90.00°
Element x y z (fractional)
1 Sc 0.000 0.000 0.000
2 Si 0.500 0.500 0.500
3 Pd 0.000 0.500 0.294
4 Pd 0.000 0.500 0.706
5 Pd 0.500 0.000 0.294
6 Pd 0.500 0.000 0.706
7 Pd 0.500 0.500 0.000

Results
- Fermi-level density of states (states/eV per atom) = 0.33
- SG = P4/mmm, No. 123

x:
This record from the Alexandria database describes ScSiPd5 after structural relaxation. The functional is GGA-PBE.

a = 5.472 Å, b = 5.472 Å, c = 9.342 Å
α = 110.88°, β = 110.88°, γ = 74.47°
Element x y z (fractional)
1 Sc 0.073 0.927 0.750
2 Sc 0.927 0.073 0.250
3 Si 0.000 0.500 0.000
4 Si 0.500 0.000 0.500
5 Pd 0.133 0.438 0.760
6 Pd 0.256 0.464 0.503
7 Pd 0.338 0.662 0.250
8 Pd 0.438 0.133 0.260
9 Pd 0.464 0.256 0.003
10 Pd 0.536 0.744 0.997
11 Pd 0.562 0.867 0.740
12 Pd 0.662 0.338 0.750
13 Pd 0.744 0.536 0.497
14 Pd 0.867 0.562 0.240

Results
- Fermi-level density of states (states/eV per atom) = 0.42
- SG = C2/c, No. 15

Q: Which of them is the least stable? A: x.

w:
This record from the Alexandria database describes SmScPd4 after structural relaxation. The functional is GGA-PBE.

a = 5.142 Å, b = 5.142 Å, c = 6.830 Å
α = 108.77°, β = 108.77°, γ = 41.29°
Element x y z (fractional)
1 Sm 0.000 0.000 0.000
2 Sc 0.000 0.000 0.500
3 Pd 0.332 0.332 0.192
4 Pd 0.340 0.340 0.647
5 Pd 0.660 0.660 0.353
6 Pd 0.668 0.668 0.808

Results
- Fermi-level density of states (states/eV per atom) = 0.53
- SG = C2/m, No. 12

x:
This record from the Alexandria database describes SmScPd4 after structural relaxation. The functional is GGA-PBE.

a = 5.407 Å, b = 5.407 Å, c = 5.407 Å
α = 60.00°, β = 60.00°, γ = 60.00°
Element x y z (fractional)
1 Sm 0.000 0.000 0.000
2 Sc 0.750 0.750 0.750
3 Pd 0.375 0.375 0.375
4 Pd 0.375 0.375 0.874
5 Pd 0.375 0.874 0.375
6 Pd 0.874 0.375 0.375

Results
- Fermi-level density of states (states/eV per atom) = 0.63
- SG = F-43m, No. 216

Q: Which of them is the least stable? A: x.

w:
This record from the Alexandria database describes SmSc2Pd after structural relaxation. The functional is GGA-PBE.

a = 6.124 Å, b = 6.124 Å, c = 7.335 Å
α = 90.00°, β = 90.00°, γ = 135.18°
Element x y z (fractional)
1 Sm 0.052 0.948 0.750
2 Sm 0.948 0.052 0.250
3 Sc 0.348 0.652 0.539
4 Sc 0.348 0.652 0.961
5 Sc 0.652 0.348 0.039
6 Sc 0.652 0.348 0.461
7 Pd 0.202 0.798 0.250
8 Pd 0.798 0.202 0.750

Results
- Fermi-level density of states (states/eV per atom) = 1.58
- SG = Cmcm, No. 63

x:
This record from the Alexandria database describes SmSc2Pd after structural relaxation. The functional is GGA-PBE.

a = 9.531 Å, b = 9.531 Å, c = 9.531 Å
α = 21.25°, β = 21.25°, γ = 21.25°
Element x y z (fractional)
1 Sm 0.000 0.000 0.000
2 Sc 0.562 0.562 0.562
3 Sc 0.766 0.766 0.766
4 Pd 0.164 0.164 0.164

Results
- Fermi-level density of states (states/eV per atom) = 1.31
- SG = R3m, No. 160

y:
This record from the Alexandria database describes SmSc2Pd after structural relaxation. The functional is GGA-PBE.

a = 3.390 Å, b = 3.390 Å, c = 8.128 Å
α = 90.00°, β = 90.00°, γ = 90.00°
Element x y z (fractional)
1 Sm 0.000 0.000 0.000
2 Sc 0.500 0.500 0.306
3 Sc 0.500 0.500 0.694
4 Pd 0.000 0.000 0.500

Results
- Fermi-level density of states (states/eV per atom) = 1.36
- SG = P4/mmm, No. 123

Q: Which of them is the least stable? A: x.

w:
This record from the Alexandria database describes SmSc2Pd after structural relaxation. The functional is GGA-PBE.

a = 6.708 Å, b = 9.391 Å, c = 6.181 Å
α = 90.00°, β = 90.00°, γ = 90.00°
Element x y z (fractional)
1 Sm 0.007 0.250 0.124
2 Sm 0.493 0.750 0.624
3 Sm 0.507 0.250 0.376
4 Sm 0.993 0.750 0.876
5 Sc 0.176 0.055 0.674
6 Sc 0.176 0.445 0.674
7 Sc 0.324 0.555 0.174
8 Sc 0.324 0.945 0.174
9 Sc 0.676 0.055 0.826
10 Sc 0.676 0.445 0.826
11 Sc 0.824 0.555 0.326
12 Sc 0.824 0.945 0.326
13 Pd 0.108 0.750 0.415
14 Pd 0.392 0.250 0.915
15 Pd 0.608 0.750 0.085
16 Pd 0.892 0.250 0.585

Results
- Fermi-level density of states (states/eV per atom) = 1.34
- SG = Pnma, No. 62

x:
This record from the Alexandria database describes SmSc2Pd after structural relaxation. The functional is GGA-PBE.

a = 5.994 Å, b = 5.994 Å, c = 5.994 Å
α = 45.14°, β = 45.14°, γ = 45.14°
Element x y z (fractional)
1 Sm 0.000 0.000 0.000
2 Sc 0.216 0.216 0.216
3 Sc 0.784 0.784 0.784
4 Pd 0.500 0.500 0.500

Results
- Fermi-level density of states (states/eV per atom) = 1.21
- SG = R-3m, No. 166

Q: Which of them is the least stable? A: x.

w:
This record from the Alexandria database describes Sm2ScPd after structural relaxation. The functional is GGA-PBE.

a = 9.866 Å, b = 9.866 Å, c = 9.866 Å
α = 21.14°, β = 21.14°, γ = 21.14°
Element x y z (fractional)
1 Sm 0.000 0.000 0.000
2 Sm 0.190 0.190 0.190
3 Sc 0.762 0.762 0.762
4 Pd 0.595 0.595 0.595

Results
- Fermi-level density of states (states/eV per atom) = 1.20
- SG = R3m, No. 160

x:
This record from the Alexandria database describes Sm2ScPd after structural relaxation. The functional is GGA-PBE.

a = 3.505 Å, b = 3.505 Å, c = 8.450 Å
α = 90.00°, β = 90.00°, γ = 90.13°
Element x y z (fractional)
1 Sm 0.000 0.000 0.000
2 Sm 0.500 0.500 0.319
3 Sc 0.000 0.000 0.609
4 Pd 0.500 0.500 0.771

Results
- Fermi-level density of states (states/eV per atom) = 1.28
- SG = Cmm2, No. 35

Q: Which of them is the least stable? A: w.

w:
This record from the Alexandria database describes Sm2ScPd after structural relaxation. The functional is GGA-PBE.

a = 10.750 Å, b = 10.750 Å, c = 10.750 Å
α = 18.82°, β = 18.82°, γ = 18.82°
Element x y z (fractional)
1 Sm 0.101 0.101 0.101
2 Sm 0.899 0.899 0.899
3 Sc 0.000 0.000 0.000
4 Pd 0.500 0.500 0.500

Results
- Fermi-level density of states (states/eV per atom) = 1.39
- SG = R-3m, No. 166

x:
This record from the Alexandria database describes Sm2ScPd after structural relaxation. The functional is GGA-PBE.

a = 5.239 Å, b = 5.239 Å, c = 3.679 Å
α = 90.00°, β = 90.00°, γ = 90.00°
Element x y z (fractional)
1 Sm 0.000 0.500 0.000
2 Sm 0.500 0.000 0.000
3 Sc 0.000 0.000 0.500
4 Pd 0.500 0.500 0.500

Results
- Fermi-level density of states (states/eV per atom) = 0.96
- SG = P4/mmm, No. 123

y:
This record from the Alexandria database describes Sm2ScPd after structural relaxation. The functional is GGA-PBE.

a = 3.686 Å, b = 3.686 Å, c = 7.655 Å
α = 90.00°, β = 90.00°, γ = 90.00°
Element x y z (fractional)
1 Sm 0.000 0.000 0.220
2 Sm 0.000 0.000 0.780
3 Sc 0.500 0.500 0.500
4 Pd 0.500 0.500 0.000

Results
- Fermi-level density of states (states/eV per atom) = 1.00
- SG = P4/mmm, No. 123

Q: Which of them is the least stable? A: w.

w:
This record from the Alexandria database describes ScSnPd3 after structural relaxation. The functional is GGA-PBE.

a = 4.482 Å, b = 5.605 Å, c = 7.328 Å
α = 90.00°, β = 90.00°, γ = 90.00°
Element x y z (fractional)
1 Sc 0.250 0.250 0.137
2 Sc 0.750 0.750 0.863
3 Sn 0.250 0.750 0.440
4 Sn 0.750 0.250 0.560
5 Pd 0.250 0.009 0.746
6 Pd 0.250 0.491 0.746
7 Pd 0.250 0.750 0.078
8 Pd 0.750 0.250 0.922
9 Pd 0.750 0.509 0.254
10 Pd 0.750 0.991 0.254

Results
- Fermi-level density of states (states/eV per atom) = 0.65
- SG = Pmmn, No. 59

x:
This record from the Alexandria database describes ScSnPd3 after structural relaxation. The functional is GGA-PBE.

a = 4.818 Å, b = 4.818 Å, c = 4.818 Å
α = 90.00°, β = 90.00°, γ = 90.00°
Element x y z (fractional)
1 Sc 0.000 0.000 0.000
2 Sn 0.500 0.500 0.500
3 Pd 0.000 0.000 0.500
4 Pd 0.000 0.500 0.000
5 Pd 0.500 0.000 0.000

Results
- Fermi-level density of states (states/eV per atom) = 0.41
- SG = Pm-3m, No. 221

Q: Which of them is the least stable? A: x.